1:
Material: Cr2CoCu
Method: DFT, PBEsol
State: optimized geometry

Structure (CIF):
```
data_Cr2CoCu
_cell_length_a 4.263
_cell_length_b 4.263
_cell_length_c 4.263
_cell_angle_alpha 130.06
_cell_angle_beta 130.06
_cell_angle_gamma 73.31
_symmetry_space_group_name_H-M 'P 1'
_symmetry_Int_Tables_number 1
loop_
_symmetry_equiv_pos_as_xyz
'x,y,z'
loop_
_atom_site_label
_atom_site_type_symbol
_atom_site_fract_x
_atom_site_fract_y
_atom_site_fract_z
_atom_site_occupancy
Cr1 Cr 0.000 0.000 0.000 1
Cr2 Cr 0.750 0.250 0.500 1
Co1 Co 0.250 0.750 0.500 1
Cu1 Cu 0.500 0.500 0.000 1
```


2:
Material: Cr2CoCu
Method: DFT, PBEsol
State: optimized geometry

Structure (CIF):
```
data_Cr2CoCu
_cell_length_a 2.416
_cell_length_b 2.416
_cell_length_c 7.423
_cell_angle_alpha 90.00
_cell_angle_beta 90.00
_cell_angle_gamma 90.00
_symmetry_space_group_name_H-M 'P 1'
_symmetry_Int_Tables_number 1
loop_
_symmetry_equiv_pos_as_xyz
'x,y,z'
loop_
_atom_site_label
_atom_site_type_symbol
_atom_site_fract_x
_atom_site_fract_y
_atom_site_fract_z
_atom_site_occupancy
Cr1 Cr 0.000 0.000 0.237 1
Cr2 Cr 0.000 0.000 0.763 1
Co1 Co 0.500 0.500 0.000 1
Cu1 Cu 0.500 0.500 0.500 1
```


3:
Material: Cr2CoCu
Method: DFT, PBEsol
State: optimized geometry

Structure (CIF):
```
data_Cr2CoCu
_cell_length_a 2.892
_cell_length_b 2.892
_cell_length_c 5.320
_cell_angle_alpha 90.00
_cell_angle_beta 90.00
_cell_angle_gamma 90.00
_symmetry_space_group_name_H-M 'P 1'
_symmetry_Int_Tables_number 1
loop_
_symmetry_equiv_pos_as_xyz
'x,y,z'
loop_
_atom_site_label
_atom_site_type_symbol
_atom_site_fract_x
_atom_site_fract_y
_atom_site_fract_z
_atom_site_occupancy
Cr1 Cr 0.000 0.000 0.000 1
Cr2 Cr 0.500 0.500 0.241 1
Co1 Co 0.500 0.500 0.759 1
Cu1 Cu 0.000 0.000 0.509 1
```


Ordering by calculated energy gives the sequence 2, 3, 1, with the first entry being the most stable.


1:
Material: CrCoIr
Method: DFT, PBEsol
State: optimized geometry

Structure (CIF):
```
data_CrCoIr
_cell_length_a 4.432
_cell_length_b 4.432
_cell_length_c 4.432
_cell_angle_alpha 145.98
_cell_angle_beta 132.54
_cell_angle_gamma 59.67
_symmetry_space_group_name_H-M 'P 1'
_symmetry_Int_Tables_number 1
loop_
_symmetry_equiv_pos_as_xyz
'x,y,z'
loop_
_atom_site_label
_atom_site_type_symbol
_atom_site_fract_x
_atom_site_fract_y
_atom_site_fract_z
_atom_site_occupancy
Cr1 Cr 0.000 0.000 0.000 1
Co1 Co 0.339 0.339 0.000 1
Ir1 Ir 0.669 0.669 0.000 1
```


2:
Material: CrCoIr
Method: DFT, PBEsol
State: optimized geometry

Structure (CIF):
```
data_CrCoIr
_cell_length_a 3.856
_cell_length_b 3.856
_cell_length_c 3.856
_cell_angle_alpha 60.00
_cell_angle_beta 60.00
_cell_angle_gamma 60.00
_symmetry_space_group_name_H-M 'P 1'
_symmetry_Int_Tables_number 1
loop_
_symmetry_equiv_pos_as_xyz
'x,y,z'
loop_
_atom_site_label
_atom_site_type_symbol
_atom_site_fract_x
_atom_site_fract_y
_atom_site_fract_z
_atom_site_occupancy
Cr1 Cr 0.000 0.000 0.000 1
Co1 Co 0.250 0.250 0.250 1
Ir1 Ir 0.750 0.750 0.750 1
```


Ordering by calculated energy gives the sequence 1, 2, with the first entry being the most stable.


1:
Material: KCrCo2
Method: DFT, PBEsol
State: optimized geometry

Structure (CIF):
```
data_KCrCo2
_cell_length_a 9.306
_cell_length_b 9.306
_cell_length_c 9.306
_cell_angle_alpha 16.18
_cell_angle_beta 16.18
_cell_angle_gamma 16.18
_symmetry_space_group_name_H-M 'P 1'
_symmetry_Int_Tables_number 1
loop_
_symmetry_equiv_pos_as_xyz
'x,y,z'
loop_
_atom_site_label
_atom_site_type_symbol
_atom_site_fract_x
_atom_site_fract_y
_atom_site_fract_z
_atom_site_occupancy
K1 K 0.000 0.000 0.000 1
Cr1 Cr 0.500 0.500 0.500 1
Co1 Co 0.233 0.233 0.233 1
Co2 Co 0.767 0.767 0.767 1
```


2:
Material: KCrCo2
Method: DFT, PBEsol
State: optimized geometry

Structure (CIF):
```
data_KCrCo2
_cell_length_a 4.086
_cell_length_b 4.086
_cell_length_c 6.902
_cell_angle_alpha 96.81
_cell_angle_beta 96.81
_cell_angle_gamma 37.72
_symmetry_space_group_name_H-M 'P 1'
_symmetry_Int_Tables_number 1
loop_
_symmetry_equiv_pos_as_xyz
'x,y,z'
loop_
_atom_site_label
_atom_site_type_symbol
_atom_site_fract_x
_atom_site_fract_y
_atom_site_fract_z
_atom_site_occupancy
K1 K 0.000 0.000 0.000 1
Cr1 Cr 0.500 0.500 0.500 1
Co1 Co 0.221 0.221 0.627 1
Co2 Co 0.779 0.779 0.373 1
```


Ordering by calculated energy gives the sequence 2, 1, with the first entry being the most stable.


1:
Material: LiCrCo2
Method: DFT, PBEsol
State: optimized geometry

Structure (CIF):
```
data_LiCrCo2
_cell_length_a 3.928
_cell_length_b 3.928
_cell_length_c 2.657
_cell_angle_alpha 90.00
_cell_angle_beta 90.00
_cell_angle_gamma 90.00
_symmetry_space_group_name_H-M 'P 1'
_symmetry_Int_Tables_number 1
loop_
_symmetry_equiv_pos_as_xyz
'x,y,z'
loop_
_atom_site_label
_atom_site_type_symbol
_atom_site_fract_x
_atom_site_fract_y
_atom_site_fract_z
_atom_site_occupancy
Li1 Li 0.000 0.000 0.000 1
Cr1 Cr 0.500 0.500 0.000 1
Co1 Co 0.000 0.500 0.500 1
Co2 Co 0.500 0.000 0.500 1
```


2:
Material: LiCrCo2
Method: DFT, PBEsol
State: optimized geometry

Structure (CIF):
```
data_LiCrCo2
_cell_length_a 2.397
_cell_length_b 3.732
_cell_length_c 4.587
_cell_angle_alpha 90.00
_cell_angle_beta 90.00
_cell_angle_gamma 90.00
_symmetry_space_group_name_H-M 'P 1'
_symmetry_Int_Tables_number 1
loop_
_symmetry_equiv_pos_as_xyz
'x,y,z'
loop_
_atom_site_label
_atom_site_type_symbol
_atom_site_fract_x
_atom_site_fract_y
_atom_site_fract_z
_atom_site_occupancy
Li1 Li 0.000 0.000 0.000 1
Cr1 Cr 0.500 0.500 0.721 1
Co1 Co 0.000 0.000 0.495 1
Co2 Co 0.500 0.500 0.205 1
```


Ordering by calculated energy gives the sequence 1, 2, with the first entry being the most stable.


1:
Material: Li2CrCo3O8
Method: DFT, PBEsol
State: optimized geometry

Structure (CIF):
```
data_Li2CrCo3O8
_cell_length_a 5.617
_cell_length_b 5.617
_cell_length_c 5.617
_cell_angle_alpha 60.40
_cell_angle_beta 60.40
_cell_angle_gamma 60.40
_symmetry_space_group_name_H-M 'P 1'
_symmetry_Int_Tables_number 1
loop_
_symmetry_equiv_pos_as_xyz
'x,y,z'
loop_
_atom_site_label
_atom_site_type_symbol
_atom_site_fract_x
_atom_site_fract_y
_atom_site_fract_z
_atom_site_occupancy
Li1 Li 0.123 0.123 0.123 1
Li2 Li 0.877 0.877 0.877 1
Cr1 Cr 0.500 0.500 0.500 1
Co1 Co 0.000 0.500 0.500 1
Co2 Co 0.500 0.000 0.500 1
Co3 Co 0.500 0.500 0.000 1
O1 O 0.261 0.261 0.711 1
O2 O 0.261 0.711 0.261 1
O3 O 0.264 0.264 0.264 1
O4 O 0.289 0.739 0.739 1
O5 O 0.711 0.261 0.261 1
O6 O 0.736 0.736 0.736 1
O7 O 0.739 0.289 0.739 1
O8 O 0.739 0.739 0.289 1
```


2:
Material: Li2CrCo3O8
Method: DFT, PBEsol
State: optimized geometry

Structure (CIF):
```
data_Li2CrCo3O8
_cell_length_a 5.592
_cell_length_b 5.592
_cell_length_c 8.978
_cell_angle_alpha 90.00
_cell_angle_beta 90.00
_cell_angle_gamma 120.00
_symmetry_space_group_name_H-M 'P 1'
_symmetry_Int_Tables_number 1
loop_
_symmetry_equiv_pos_as_xyz
'x,y,z'
loop_
_atom_site_label
_atom_site_type_symbol
_atom_site_fract_x
_atom_site_fract_y
_atom_site_fract_z
_atom_site_occupancy
Li1 Li 0.000 0.000 0.000 1
Li2 Li 0.000 0.000 0.500 1
Li3 Li 0.333 0.667 0.107 1
Li4 Li 0.667 0.333 0.607 1
Cr1 Cr 0.333 0.667 0.506 1
Cr2 Cr 0.667 0.333 0.006 1
Co1 Co 0.170 0.340 0.787 1
Co2 Co 0.170 0.830 0.787 1
Co3 Co 0.340 0.170 0.287 1
Co4 Co 0.660 0.830 0.787 1
Co5 Co 0.830 0.170 0.287 1
Co6 Co 0.830 0.660 0.287 1
O1 O 0.000 0.000 0.192 1
O2 O 0.000 0.000 0.692 1
O3 O 0.044 0.522 0.660 1
O4 O 0.168 0.337 0.397 1
O5 O 0.168 0.832 0.397 1
O6 O 0.333 0.667 0.893 1
O7 O 0.337 0.168 0.897 1
O8 O 0.478 0.522 0.660 1
O9 O 0.478 0.956 0.660 1
O10 O 0.522 0.044 0.160 1
O11 O 0.522 0.478 0.160 1
O12 O 0.663 0.832 0.397 1
O13 O 0.667 0.333 0.393 1
O14 O 0.832 0.168 0.897 1
O15 O 0.832 0.663 0.897 1
O16 O 0.956 0.478 0.160 1
```


Ordering by calculated energy gives the sequence 1, 2, with the first entry being the most stable.


1:
Material: Li3CrCo3O8
Method: DFT, PBEsol
State: optimized geometry

Structure (CIF):
```
data_Li3CrCo3O8
_cell_length_a 5.714
_cell_length_b 5.714
_cell_length_c 5.714
_cell_angle_alpha 58.75
_cell_angle_beta 58.75
_cell_angle_gamma 58.75
_symmetry_space_group_name_H-M 'P 1'
_symmetry_Int_Tables_number 1
loop_
_symmetry_equiv_pos_as_xyz
'x,y,z'
loop_
_atom_site_label
_atom_site_type_symbol
_atom_site_fract_x
_atom_site_fract_y
_atom_site_fract_z
_atom_site_occupancy
Li1 Li 0.000 0.500 0.500 1
Li2 Li 0.500 0.000 0.500 1
Li3 Li 0.500 0.500 0.000 1
Cr1 Cr 0.500 0.500 0.500 1
Co1 Co 0.000 0.000 0.500 1
Co2 Co 0.000 0.500 0.000 1
Co3 Co 0.500 0.000 0.000 1
O1 O 0.238 0.238 0.238 1
O2 O 0.238 0.738 0.738 1
O3 O 0.262 0.262 0.762 1
O4 O 0.262 0.762 0.262 1
O5 O 0.738 0.238 0.738 1
O6 O 0.738 0.738 0.238 1
O7 O 0.762 0.262 0.262 1
O8 O 0.762 0.762 0.762 1
```


2:
Material: Li3CrCo3O8
Method: DFT, PBEsol
State: optimized geometry

Structure (CIF):
```
data_Li3CrCo3O8
_cell_length_a 5.610
_cell_length_b 5.610
_cell_length_c 5.662
_cell_angle_alpha 118.92
_cell_angle_beta 118.92
_cell_angle_gamma 60.01
_symmetry_space_group_name_H-M 'P 1'
_symmetry_Int_Tables_number 1
loop_
_symmetry_equiv_pos_as_xyz
'x,y,z'
loop_
_atom_site_label
_atom_site_type_symbol
_atom_site_fract_x
_atom_site_fract_y
_atom_site_fract_z
_atom_site_occupancy
Li1 Li 0.000 0.000 0.000 1
Li2 Li 0.000 0.500 0.000 1
Li3 Li 0.500 0.000 0.000 1
Cr1 Cr 0.500 0.500 0.500 1
Co1 Co 0.000 0.000 0.500 1
Co2 Co 0.000 0.500 0.500 1
Co3 Co 0.500 0.000 0.500 1
O1 O 0.232 0.232 0.706 1
O2 O 0.232 0.741 0.714 1
O3 O 0.258 0.258 0.277 1
O4 O 0.259 0.768 0.286 1
O5 O 0.741 0.232 0.714 1
O6 O 0.742 0.742 0.723 1
O7 O 0.768 0.259 0.286 1
O8 O 0.768 0.768 0.294 1
```


Ordering by calculated energy gives the sequence 2, 1, with the first entry being the most stable.